La6ZnCo (PBE, optimized geometry); space group = I4/mmm, No. 139; formation energy from the elements = -39.8 meV/atom; D(E_F) = 11.00 states/eV per cell; total magnetization = 0.656 μB/f.u.
1.0
-2.599 2.599 9.039
2.599 -2.599 9.039
2.599 2.599 -9.039
La Zn Co
6 1 1
Direct
0.097 0.597 0.500 La
0.248 0.248 0.000 La
0.403 0.903 0.500 La
0.597 0.097 0.500 La
0.752 0.752 0.000 La
0.903 0.403 0.500 La
0.000 0.000 0.000 Zn
0.500 0.500 0.000 Co



Ba2LiBi (PBE, optimized geometry); space group = R-3m, No. 166; formation energy from the elements = 157.4 meV/atom; D(E_F) = 3.83 states/eV per cell; total magnetization = 0.000 μB/f.u.
1.0
2.008 1.159 13.025
-2.008 1.159 13.025
0.000 -2.318 13.025
Ba Li Bi
2 1 1
Direct
0.089 0.089 0.089 Ba
0.911 0.911 0.911 Ba
0.500 0.500 0.500 Li
0.000 0.000 0.000 Bi



Pr4Cd5Cu2 (PBE, optimized geometry); space group = P2/m, No. 10; formation energy from the elements = -240.9 meV/atom; D(E_F) = 10.50 states/eV per cell; total magnetization = 0.000 μB/f.u.
1.0
7.738 0.000 0.000
0.000 3.832 0.000
-0.689 0.000 9.759
Pr Cd Cu
4 5 2
Direct
0.168 0.000 0.360 Pr
0.238 0.000 0.941 Pr
0.762 0.000 0.059 Pr
0.832 0.000 0.640 Pr
0.186 0.500 0.654 Cd
0.442 0.500 0.188 Cd
0.500 0.500 0.500 Cd
0.558 0.500 0.812 Cd
0.814 0.500 0.346 Cd
0.061 0.500 0.127 Cu
0.939 0.500 0.873 Cu